No. 1
Below is an optimized crystal structure of CaCd3Hg7, with properties calculated at the PBE level.

Lattice parameters (Å, degrees): 6.2924 8.3096 8.3097 82.24 122.60 122.60
Element x y z (fractional)
Hg 0.6765 0.4096 0.9380
Hg 0.0000 0.5000 0.5000
Cd 0.0000 0.7652 0.2348
Hg 0.6765 0.9380 0.4096
Hg 0.3053 0.1832 0.1832
Cd 0.0000 0.2348 0.7652
Cd 0.5000 0.0000 0.0000
Hg 0.6947 0.8168 0.8168
Hg 0.3235 0.5904 0.0620
Hg 0.3235 0.0620 0.5904
Ca 0.5000 0.5000 0.5000

The value obtained for the magnetic moment is 0.00 μB per formula unit. As for the excess energy over the best structure of this formula in the dataset: 0.29 eV per formula unit. For the total energy, the calculation gives -7.51 eV per cell. Its formation energy is -62 kJ/mol of formula units.

***

No. 2
Below is an optimized crystal structure of CaCd6Hg8, with properties calculated at the PBE level.

Lattice parameters (Å, degrees): 7.4733 7.4733 7.4733 76.46 76.46 76.46
Element x y z (fractional)
Ca 0.0000 0.0000 0.0000
Cd 0.5831 0.1844 0.3971
Hg 0.1015 0.8324 0.4058
Hg 0.2238 0.2238 0.2238
Hg 0.5942 0.8985 0.1676
Hg 0.1676 0.5942 0.8985
Cd 0.8156 0.6029 0.4169
Cd 0.6029 0.4169 0.8156
Hg 0.8985 0.1676 0.5942
Hg 0.8324 0.4058 0.1015
Hg 0.4058 0.1015 0.8324
Cd 0.3971 0.5831 0.1844
Hg 0.7762 0.7762 0.7762
Cd 0.4169 0.8156 0.6029
Cd 0.1844 0.3971 0.5831

The value obtained for the magnetic moment is 0.00 μB per formula unit. For the total energy, the calculation gives -10.60 eV per cell. Its formation energy is -67 kJ/mol of formula units.